An optimized crystal structure of TcWSe2F. Source: Alexandria, functional PBE with a Hubbard U.

Unit cell a=5.203 b=5.203 c=4.114 alpha=90.00 beta=90.00 gamma=90.00
Positions (direct):
Tc 0.000 0.000 0.000
W 0.500 0.500 0.500
Se 0.000 0.500 0.500
Se 0.500 0.000 0.500
F 0.500 0.500 0.000

Calculated values
The calculated volume is 111.4 Å³ per cell. As for the space group: No. 123. For the spin magnetization, the calculation gives 5.81 μB/cell. The calculation puts the density of states at the Fermi level at 1.21 states/eV/cell. The calculation puts the total energy at -5.10 eV per atom.